! CaFe2MoO6, relaxed, DFT GGA+U; values from VASP
! raw total energy = -68.6 eV per cell
&SYSTEM
  ibrav = 0, nat = 10, ntyp = 4
/
ATOMIC_SPECIES
Mo 95.94 Mo.upf
Fe 55.84 Fe.upf
O 16.00 O.upf
Ca 40.08 Ca.upf
CELL_PARAMETERS angstrom
5.339 0.074 -0.072
2.734 4.693 -0.074
2.624 1.549 4.861
ATOMIC_POSITIONS crystal
Mo 0.309 0.322 0.046
Fe 0.517 0.526 0.431
Fe 0.016 0.025 0.952
O 0.952 0.587 0.229
O 0.248 0.933 0.225
O 0.712 0.163 0.762
O 0.359 0.724 0.774
O 0.144 0.362 0.767
O 0.614 0.211 0.233
Ca 0.790 0.809 0.595